An optimized crystal structure of Pm3DyBi2C, computed with PBE-GGA.

Results
M_tot	0.000	μB/cell
D(E_F)	12.0	states/eV/cell
VASP energy	-5.76	eV per atom
formation energy	-0.64	eV/atom

Cell: 4.8812 5.0014 16.4571 Å, 90.00 90.00 90.00°
Closest atoms and distances in Å follow each position.
Space group Immm (No. 71)
Unique sites:
1 Pm 0.0000 0.0000 0.0000 [2 per cell]  2 C 2.50
2 Pm 0.0000 0.5000 0.1554 [4 per cell]  1 C 2.56
3 Dy 0.0000 0.0000 0.5000 [2 per cell]  2 C 2.44
4 Bi 0.0000 0.5000 0.3580 [4 per cell]  7 Pm 3.33-3.50, 2 Dy 3.42
5 C 0.0000 0.5000 0.0000 [2 per cell]  2 Dy 2.44, 4 Pm 2.50-2.56